Density functional theory data (GGA-PBE) for crystalline LiLaBeN2 at its relaxed geometry.

Mass density, g/cm³: 4.55
Calculated volume, Å³ per atom: 13.34
Symmetry: P2/c, No. 13
Raw total energy, eV/cell: -63.5
Raw formation energy, eV/atom: -0.904

a = 5.4736 Å, b = 3.8961 Å, c = 6.3533 Å
α = 90.00°, β = 99.97°, γ = 90.00°
Fractional coordinates of all 10 atoms:
Li 0.0000 0.0421 0.2500
Li 0.0000 0.9579 0.7500
La 0.5000 0.2655 0.7500
La 0.5000 0.7345 0.2500
Be 0.0000 0.5000 0.0000
Be 0.0000 0.5000 0.5000
N 0.2356 0.2724 0.0426
N 0.2356 0.7276 0.5426
N 0.7644 0.2724 0.4574
N 0.7644 0.7276 0.9574